# PBE Na2MgNb, relaxed
# space-group type = I-42d, No. 122
# formation energy from the elements = 1.0558 eV per atom
data_Na2MgNb
_chemical_formula_sum 'Na8 Mg4 Nb4'
_space_group_name_H-M_alt 'P 1'
_space_group_IT_number 1
_space_group_name_Hall 'P 1'
_cell_length_a 8.5935
_cell_length_b 8.5935
_cell_length_c 6.0501
_cell_angle_alpha 90.00
_cell_angle_beta 90.00
_cell_angle_gamma 90.00
loop_
_atom_site_label
_atom_site_type_symbol
_atom_site_fract_x
_atom_site_fract_y
_atom_site_fract_z
Na1 Na 0.2382 0.2500 0.1250
Na2 Na 0.2500 0.7382 0.3750
Na3 Na 0.2500 0.7618 0.8750
Na4 Na 0.2618 0.2500 0.6250
Na5 Na 0.7382 0.7500 0.6250
Na6 Na 0.7500 0.2382 0.8750
Na7 Na 0.7500 0.2618 0.3750
Na8 Na 0.7618 0.7500 0.1250
Mg1 Mg 0.0000 0.0000 0.0000
Mg2 Mg 0.0000 0.5000 0.2500
Mg3 Mg 0.5000 0.0000 0.7500
Mg4 Mg 0.5000 0.5000 0.5000
Nb1 Nb 0.0000 0.0000 0.5000
Nb2 Nb 0.0000 0.5000 0.7500
Nb3 Nb 0.5000 0.0000 0.2500
Nb4 Nb 0.5000 0.5000 0.0000